No. 1
Compound: Er2Zn5Au3
Source: Alexandria
Functional: PBE-GGA
Structure: optimized geometry

Computed properties:
For the volume, the calculation gives 377 Å³/cell. As for the energy of formation: -0.478 eV/atom. Its crystal system is orthorhombic. The value obtained for the total energy is -60.216 eV for the cell shown. The calculation puts the distance to the lowest polymorph of the same formula at 0.00 eV per formula unit. The space group is Cmc2_1, No. 36. Its density of states at the Fermi level is 0.5402 states/eV/atom.

abc: 4.462 6.848 12.532
angles: 90.00 100.25 90.00
Fractional coordinates of all 20 atoms:
Au1 0.770 0.688 0.540
Au2 0.607 0.538 0.214
Au3 0.948 0.481 0.896
Au4 0.230 0.188 0.460
Au5 0.393 0.038 0.786
Au6 0.052 0.981 0.104
Zn1 0.709 0.000 0.417
Zn2 0.291 0.500 0.583
Zn3 0.392 0.442 0.785
Zn4 0.052 0.577 0.105
Zn5 0.124 0.273 0.249
Zn6 0.948 0.077 0.895
Zn7 0.297 0.885 0.594
Zn8 0.876 0.773 0.751
Zn9 0.703 0.385 0.406
Zn10 0.608 0.942 0.215
Er1 0.485 0.767 0.969
Er2 0.176 0.715 0.352
Er3 0.824 0.215 0.648
Er4 0.515 0.267 0.031



No. 2
Compound: CsK2RbBi
Source: Alexandria
Functional: PBE-GGA
Structure: optimized geometry

Computed properties:
For the volume, the calculation gives 378 Å³/cell. As for the energy of formation: -0.144 eV/atom. Its crystal system is tetragonal. The value obtained for the total energy is -8.619 eV for the cell shown. The calculation puts the distance to the lowest polymorph of the same formula at 0.16 eV per formula unit. The space group is P4/mmm, No. 123. Its density of states at the Fermi level is 1.0963 states/eV/atom.

abc: 7.021 7.021 7.677
angles: 90.00 90.00 90.00
Last column: magnetic moment on the atom in μB.
Fractional coordinates of all 5 atoms:
K1 0.500 0.000 0.000  0.00
K2 0.000 0.500 0.000  0.00
Cs1 0.000 0.000 0.500  0.01
Rb1 0.500 0.500 0.500  0.01
Bi1 0.000 0.000 0.000  0.07



No. 3
Compound: AgOsW2
Source: Alexandria
Functional: PBE-GGA
Structure: optimized geometry

Computed properties:
For the volume, the calculation gives 64 Å³/cell. As for the energy of formation: 0.361 eV/atom. Its crystal system is trigonal. The value obtained for the total energy is -38.542 eV for the cell shown. The calculation puts the distance to the lowest polymorph of the same formula at 0.00 eV per formula unit. The space group is R-3m, No. 166. Its density of states at the Fermi level is 0.6719 states/eV/atom.

abc: 9.652 9.652 9.652
angles: 16.63 16.63 16.63
Fractional coordinates of all 4 atoms:
Os1 0.750 0.750 0.750
W1 0.496 0.496 0.496
W2 0.004 0.004 0.004
Ag1 0.250 0.250 0.250



No. 4
Compound: Li5AlPb6
Source: Alexandria
Functional: PBE-GGA
Structure: optimized geometry

Computed properties:
For the volume, the calculation gives 278 Å³/cell. As for the energy of formation: -0.186 eV/atom. Its crystal system is monoclinic. The value obtained for the total energy is -37.795 eV for the cell shown. The space group is P2/m, No. 10. Its density of states at the Fermi level is 0.3082 states/eV/atom.

abc: 5.045 7.278 7.960
angles: 90.00 72.23 90.00
Fractional coordinates of all 12 atoms:
Pb1 0.500 0.252 0.000
Pb2 0.832 0.751 0.336
Pb3 0.832 0.249 0.336
Pb4 0.500 0.748 0.000
Pb5 0.168 0.249 0.664
Pb6 0.168 0.751 0.664
Li1 0.000 0.500 0.000
Li2 0.665 0.000 0.669
Li3 0.335 0.500 0.330
Li4 0.665 0.500 0.670
Li5 0.335 0.000 0.331
Al1 0.000 0.000 0.000



No. 5
Compound: Zr2GaB
Source: Alexandria
Functional: PBE-GGA
Structure: optimized geometry

Computed properties:
For the volume, the calculation gives 71 Å³/cell. As for the energy of formation: -0.483 eV/atom. Its crystal system is trigonal. The value obtained for the total energy is -28.731 eV for the cell shown. The calculation puts the distance to the lowest polymorph of the same formula at 0.00 eV per formula unit. The space group is R-3m, No. 166. Its density of states at the Fermi level is 0.4537 states/eV/atom.

abc: 3.474 3.474 7.113
angles: 75.87 75.87 60.00
Fractional coordinates of all 4 atoms:
B1 0.000 0.000 0.000
Ga1 0.500 0.500 0.500
Zr1 0.732 0.732 0.804
Zr2 0.268 0.268 0.196



No. 6
Compound: BC2
Source: Alexandria
Functional: PBE-GGA
Structure: optimized geometry

Computed properties:
For the volume, the calculation gives 76 Å³/cell. As for the energy of formation: 0.353 eV/atom. Its crystal system is trigonal. The value obtained for the total energy is -96.268 eV for the cell shown. The calculation puts the distance to the lowest polymorph of the same formula at 0.34 eV per formula unit. The space group is P3m1, No. 156. Its density of states at the Fermi level is 0.0564 states/eV/atom.

abc: 2.553 2.553 13.504
angles: 90.00 90.00 120.00
Fractional coordinates of all 12 atoms:
C1 0.667 0.333 0.203
C2 0.333 0.667 0.166
C3 0.000 0.000 0.012
C4 0.333 0.667 0.050
C5 0.000 0.000 0.900
C6 0.000 0.000 0.485
C7 0.000 0.000 0.373
C8 0.333 0.667 0.525
B1 0.667 0.333 0.723
B2 0.667 0.333 0.323
B3 0.667 0.333 0.849
B4 0.333 0.667 0.641



No. 7
Compound: CePrThZr
Source: Alexandria
Functional: PBE-GGA
Structure: optimized geometry

Computed properties:
For the volume, the calculation gives 119 Å³/cell. As for the energy of formation: 0.257 eV/atom. Its crystal system is cubic. The value obtained for the total energy is -25.654 eV for the cell shown. The space group is F-43m, No. 216. Its density of states at the Fermi level is 2.5469 states/eV/atom.

abc: 5.515 5.515 5.515
angles: 60.00 60.00 60.00
Last column: magnetic moment on the atom in μB.
Fractional coordinates of all 4 atoms:
Ce1 0.500 0.500 0.500  0.56
Zr1 0.250 0.250 0.250  -0.03
Pr1 0.750 0.750 0.750  0.06
Th1 0.000 0.000 0.000  0.01



No. 8
Compound: LaPm2Mg
Source: Alexandria
Functional: PBE-GGA
Structure: optimized geometry

Computed properties:
For the volume, the calculation gives 129 Å³/cell. As for the energy of formation: -0.039 eV/atom. Its crystal system is tetragonal. The value obtained for the total energy is -16.181 eV for the cell shown. The calculation puts the distance to the lowest polymorph of the same formula at 0.00 eV per formula unit. The space group is P4/mmm, No. 123. Its density of states at the Fermi level is 1.2034 states/eV/atom.

abc: 3.779 3.779 9.067
angles: 90.00 90.00 90.00
Fractional coordinates of all 4 atoms:
Pm1 0.000 0.000 0.778
Pm2 0.000 0.000 0.222
La1 0.500 0.500 0.500
Mg1 0.500 0.500 0.000



No. 9
Compound: BaTcHOs2
Source: Alexandria
Functional: PBE-GGA
Structure: optimized geometry

Computed properties:
For the volume, the calculation gives 88 Å³/cell. Its crystal system is tetragonal. The value obtained for the total energy is -24.823 eV for the cell shown. The space group is P4/mmm, No. 123. Its density of states at the Fermi level is 0.9840 states/eV/atom.

abc: 5.131 3.353 5.131
angles: 90.00 90.00 90.00
Last column: magnetic moment on the atom in μB.
Fractional coordinates of all 5 atoms:
Os1 0.500 0.000 0.000  0.19
Os2 0.000 0.000 0.500  0.12
H1 0.000 0.500 0.000  -0.01
Ba1 0.000 0.000 0.000  -0.03
Tc1 0.500 0.500 0.500  1.72



No. 10
Compound: AcTbSi2Pd5
Source: Alexandria
Functional: PBE-GGA
Structure: optimized geometry

Computed properties:
For the volume, the calculation gives 168 Å³/cell. Its crystal system is tetragonal. The value obtained for the total energy is -53.316 eV for the cell shown. The space group is P4/mmm, No. 123. Its density of states at the Fermi level is 0.3195 states/eV/atom. Its formation energy from raw total energies is -0.863 eV/atom.

abc: 4.293 4.293 9.112
angles: 90.00 90.00 90.00
Fractional coordinates of all 9 atoms:
Pd1 0.000 0.500 0.744
Pd2 0.500 0.000 0.256
Pd3 0.500 0.500 0.500
Pd4 0.500 0.000 0.744
Pd5 0.000 0.500 0.256
Tb1 0.000 0.000 0.000
Si1 0.500 0.500 0.129
Si2 0.500 0.500 0.871
Ac1 0.000 0.000 0.500



No. 11
Compound: YCr2P
Source: Alexandria
Functional: PBE-GGA
Structure: optimized geometry

Computed properties:
For the volume, the calculation gives 63 Å³/cell. As for the energy of formation: -0.004 eV/atom. Its crystal system is tetragonal. The value obtained for the total energy is -31.135 eV for the cell shown. The space group is P4/mmm, No. 123. Its density of states at the Fermi level is 0.6996 states/eV/atom.

abc: 3.221 3.221 6.070
angles: 90.00 90.00 90.00
Fractional coordinates of all 4 atoms:
P1 0.500 0.500 0.250
Cr1 0.000 0.000 0.078
Cr2 0.000 0.000 0.422
Y1 0.500 0.500 0.750



No. 12
Compound: MnNbNi2Br
Source: Alexandria
Functional: PBE-GGA
Structure: optimized geometry

Computed properties:
For the volume, the calculation gives 107 Å³/cell. Its crystal system is tetragonal. The value obtained for the total energy is -25.804 eV for the cell shown. The space group is P4/mmm, No. 123. Its density of states at the Fermi level is 1.2153 states/eV/atom. Its formation energy from raw total energies is 1.334 eV/atom.

abc: 4.630 4.994 4.630
angles: 90.00 90.00 90.00
Last column: magnetic moment on the atom in μB.
Fractional coordinates of all 5 atoms:
Nb1 0.000 0.000 0.000  -0.94
Br1 0.500 0.500 0.500  -0.05
Ni1 0.000 0.000 0.500  -0.19
Ni2 0.500 0.000 0.000  -0.20
Mn1 0.000 0.500 0.000  3.52